Entry 1:
A plane-wave DFT calculation with GGA-PBE was carried out for a relaxed Pu2Sn2Sb crystal.

Properties
- E_form (uncorrected) (eV per atom) = -0.309
- density (g/cm³) = 10.0

Cell and atoms, written as CIF:
```
data_Pu2Sn2Sb
_chemical_formula_sum 'Pu4 Sn4 Sb2'
_cell_length_a 4.165
_cell_length_b 4.165
_cell_length_c 16.145
_cell_angle_alpha 90.00
_cell_angle_beta 90.00
_cell_angle_gamma 90.00
_symmetry_space_group_name_H-M 'I 4/m m m'
_symmetry_Int_Tables_number 139
_symmetry_space_group_name_Hall '-I 4 2'
loop_
_atom_site_label
_atom_site_fract_x
_atom_site_fract_y
_atom_site_fract_z
_atom_site_occupancy
Pu1 0.000 0.000 0.089 1
Sn1 0.000 0.500 0.250 1
Sb1 0.000 0.000 0.500 1
```



Entry 2:
A plane-wave DFT calculation with GGA-PBE was carried out for a relaxed CeDy2In3 crystal.

Properties
- density (g/cm³) = 8.3
- E_form (meV per atom) = -429

Cell and atoms, written as CIF:
```
data_CeDy2In3
_chemical_formula_sum 'Ce1 Dy2 In3'
_cell_length_a 3.493
_cell_length_b 3.493
_cell_length_c 13.227
_cell_angle_alpha 90.00
_cell_angle_beta 90.00
_cell_angle_gamma 90.00
_symmetry_space_group_name_H-M 'P 4/m m m'
_symmetry_Int_Tables_number 123
_symmetry_space_group_name_Hall '-P 4 2'
loop_
_atom_site_label
_atom_site_fract_x
_atom_site_fract_y
_atom_site_fract_z
_atom_site_occupancy
Ce1 0.000 0.000 0.000 1
Dy1 0.000 0.000 0.338 1
In1 0.500 0.500 0.173 1
In2 0.500 0.500 0.500 1
```



Entry 3:
A plane-wave DFT calculation with GGA-PBE was carried out for a relaxed Ca5Tl2 crystal.

Properties
- density (g/cm³) = 4.2
- E_form (meV per atom) = -286
- polymorph energy (0 for the lowest one) (meV per atom) = 22

Cell and atoms, written as CIF:
```
data_Ca5Tl2
_chemical_formula_sum 'Ca20 Tl8'
_cell_length_a 17.589
_cell_length_b 6.065
_cell_length_c 9.230
_cell_angle_alpha 90.00
_cell_angle_beta 99.44
_cell_angle_gamma 90.00
_symmetry_space_group_name_H-M 'C 1 2/c 1'
_symmetry_Int_Tables_number 15
_symmetry_space_group_name_Hall '-C 2yc'
loop_
_atom_site_label
_atom_site_fract_x
_atom_site_fract_y
_atom_site_fract_z
_atom_site_occupancy
Ca1 0.000 0.164 0.250 1
Ca2 0.092 0.323 0.931 1
Ca3 0.211 0.148 0.320 1
Tl1 0.107 0.202 0.590 1
```



Entry 4:
A plane-wave DFT calculation with GGA-PBE was carried out for a relaxed Th2As4Au crystal.

Properties
- density (g/cm³) = 9.6
- E_form (meV per atom) = -935

Cell and atoms, written as CIF:
```
data_Th2As4Au
_chemical_formula_sum 'Th2 As4 Au1'
_cell_length_a 4.105
_cell_length_b 4.105
_cell_length_c 9.860
_cell_angle_alpha 90.00
_cell_angle_beta 90.00
_cell_angle_gamma 90.00
_symmetry_space_group_name_H-M 'P -4 m 2'
_symmetry_Int_Tables_number 115
_symmetry_space_group_name_Hall 'P -4 -2'
loop_
_atom_site_label
_atom_site_fract_x
_atom_site_fract_y
_atom_site_fract_z
_atom_site_occupancy
Th1 0.000 0.500 0.239 1
As1 0.000 0.000 0.000 1
As2 0.000 0.500 0.671 1
As3 0.500 0.500 0.000 1
Au1 0.000 0.000 0.500 1
```



no.,magnetization (μB per cell),energy (eV/atom)
1,21.6,-8.47
2,0.9,-4.32
3,0.0,-2.39
4,0.0,-6.18